First-principles (SCAN) data for a crystal of ZrRuAu2 relaxed with PBEsol, as listed in Alexandria via LeMat-Bulk. Values from VASP.

Output
VASP energy = -51.27 eV per atom
D(E_F) = 2.3 states/eV/f.u.
E_form = -307 meV per atom
ΔE to the lowest computed polymorph = 216.7 meV/atom

The structure in Quantum ESPRESSO input format:
```
&SYSTEM
  ibrav = 0, nat = 4, ntyp = 3
/
ATOMIC_SPECIES
Zr 91.22 Zr.upf
Ru 101.07 Ru.upf
Au 196.97 Au.upf
CELL_PARAMETERS angstrom
3.5521 0.0000 0.0000
0.0000 3.5521 0.0000
0.0000 0.0000 5.4298
ATOMIC_POSITIONS crystal
Zr 0.0000 0.0000 0.0000
Ru 0.0000 0.0000 0.5000
Au 0.5000 0.5000 0.2536
Au 0.5000 0.5000 0.7464
```

---

First-principles (SCAN) data for a crystal of K2TlAg relaxed with PBEsol, as listed in Alexandria via LeMat-Bulk. Values from VASP.

Output
VASP energy = -30.15 eV per atom
D(E_F) = 2.3 states/eV/f.u.
E_form = -58 meV per atom
ΔE to the lowest computed polymorph = 0.0 meV/atom

The structure in Quantum ESPRESSO input format:
```
&SYSTEM
  ibrav = 0, nat = 8, ntyp = 3
/
ATOMIC_SPECIES
K 39.10 K.upf
Tl 204.38 Tl.upf
Ag 107.87 Ag.upf
CELL_PARAMETERS angstrom
4.7810 0.0000 0.0000
0.0000 5.0045 0.0000
0.0000 0.0000 12.4155
ATOMIC_POSITIONS crystal
K 0.0000 0.0000 0.0000
K 0.0000 0.5000 0.5000
K 0.5000 0.0000 0.2975
K 0.5000 0.5000 0.7975
Tl 0.5000 0.0000 0.5920
Tl 0.5000 0.5000 0.0920
Ag 0.0000 0.0000 0.7069
Ag 0.0000 0.5000 0.2069
```